# 1
The following is a DFT calculation (PBE-GGA) of crystalline AgSbNO at its relaxed geometry.

Cell lengths 4.848, 4.848, 4.575 Å; angles 90.00, 90.00, 90.00 degrees
Fractional coordinates of all 8 atoms:
1 Ag 0.250 0.250 0.005
2 Ag 0.750 0.750 0.995
3 Sb 0.250 0.750 0.500
4 Sb 0.750 0.250 0.500
5 N 0.250 0.250 0.505
6 N 0.750 0.750 0.495
7 O 0.250 0.750 0.000
8 O 0.750 0.250 0.000

## Properties
polymorph energy (0 for the lowest one): 246 meV per atom
SG: P4/nmm, No. 129

---

# 2
The following is a DFT calculation (PBE-GGA) of crystalline AgSbNO at its relaxed geometry.

Cell lengths 3.433, 3.433, 4.573 Å; angles 90.00, 90.00, 90.00 degrees
Fractional coordinates of all 4 atoms:
1 Ag 0.000 0.000 0.000
2 Sb 0.500 0.500 0.500
3 N 0.000 0.000 0.500
4 O 0.500 0.500 0.000

## Properties
polymorph energy (0 for the lowest one): 244 meV per atom
SG: P4/mmm, No. 123

---

# 3
The following is a DFT calculation (PBE-GGA) of crystalline ScAgNO at its relaxed geometry.

Cell lengths 4.618, 4.618, 4.400 Å; angles 90.00, 90.00, 90.00 degrees
Fractional coordinates of all 8 atoms:
1 Sc 0.250 0.750 0.000
2 Sc 0.750 0.250 0.000
3 Ag 0.250 0.250 0.498
4 Ag 0.750 0.750 0.502
5 N 0.250 0.250 0.998
6 N 0.750 0.750 0.002
7 O 0.250 0.750 0.500
8 O 0.750 0.250 0.500

## Properties
polymorph energy (0 for the lowest one): 74 meV per atom
SG: P4/nmm, No. 129

---

# 4
The following is a DFT calculation (PBE-GGA) of crystalline ScAgNO at its relaxed geometry.

Cell lengths 3.390, 6.063, 5.784 Å; angles 90.00, 90.00, 90.00 degrees
Fractional coordinates of all 8 atoms:
1 Sc 0.000 0.195 0.000
2 Sc 0.000 0.805 0.500
3 Ag 0.500 0.275 0.495
4 Ag 0.500 0.725 0.995
5 N 0.000 0.119 0.352
6 N 0.000 0.881 0.852
7 O 0.500 0.343 0.905
8 O 0.500 0.657 0.405

## Properties
polymorph energy (0 for the lowest one): 102 meV per atom
SG: Pmc2_1, No. 26

---

# 5
The following is a DFT calculation (PBE-GGA) of crystalline ScAgNO at its relaxed geometry.

Cell lengths 3.639, 6.337, 5.193 Å; angles 90.00, 90.00, 90.00 degrees
Fractional coordinates of all 8 atoms:
1 Sc 0.000 0.166 0.000
2 Sc 0.000 0.834 0.500
3 Ag 0.500 0.373 0.489
4 Ag 0.500 0.627 0.989
5 N 0.500 0.301 0.897
6 N 0.500 0.699 0.397
7 O 0.000 0.131 0.382
8 O 0.000 0.869 0.882

## Properties
polymorph energy (0 for the lowest one): 125 meV per atom
SG: Pmc2_1, No. 26

---

# 6
The following is a DFT calculation (PBE-GGA) of crystalline ScAgNO at its relaxed geometry.

Cell lengths 5.327, 7.014, 5.435 Å; angles 90.00, 90.00, 90.00 degrees
Fractional coordinates of all 16 atoms:
1 Sc 0.058 0.122 0.000
2 Sc 0.442 0.122 0.500
3 Sc 0.558 0.878 0.000
4 Sc 0.942 0.878 0.500
5 Ag 0.031 0.556 0.037
6 Ag 0.469 0.556 0.537
7 Ag 0.531 0.444 0.037
8 Ag 0.969 0.444 0.537
9 N 0.227 0.326 0.270
10 N 0.273 0.326 0.770
11 N 0.727 0.674 0.270
12 N 0.773 0.674 0.770
13 O 0.246 0.937 0.246
14 O 0.254 0.937 0.746
15 O 0.746 0.063 0.246
16 O 0.754 0.063 0.746

## Properties
polymorph energy (0 for the lowest one): 0 meV per atom
SG: Pca2_1, No. 29

---

# 7
The following is a DFT calculation (PBE-GGA) of crystalline ScAgNO at its relaxed geometry.

Cell lengths 8.344, 5.553, 4.493 Å; angles 90.00, 90.00, 90.00 degrees
Fractional coordinates of all 16 atoms:
1 Sc 0.130 0.053 0.250
2 Sc 0.130 0.447 0.750
3 Sc 0.870 0.553 0.250
4 Sc 0.870 0.947 0.750
5 Ag 0.368 0.504 0.250
6 Ag 0.368 0.996 0.750
7 Ag 0.632 0.004 0.250
8 Ag 0.632 0.496 0.750
9 N 0.114 0.063 0.750
10 N 0.114 0.437 0.250
11 N 0.886 0.563 0.750
12 N 0.886 0.937 0.250
13 O 0.370 0.516 0.750
14 O 0.370 0.984 0.250
15 O 0.630 0.016 0.750
16 O 0.630 0.484 0.250

## Properties
polymorph energy (0 for the lowest one): 159 meV per atom
SG: Pbcm, No. 57

---

# 8
The following is a DFT calculation (PBE-GGA) of crystalline ScAgNO at its relaxed geometry.

Cell lengths 3.749, 3.749, 7.279 Å; angles 90.00, 90.00, 90.00 degrees
Fractional coordinates of all 8 atoms:
1 Sc 0.250 0.250 0.129
2 Sc 0.750 0.750 0.871
3 Ag 0.250 0.750 0.500
4 Ag 0.750 0.250 0.500
5 N 0.250 0.250 0.696
6 N 0.750 0.750 0.304
7 O 0.250 0.750 0.000
8 O 0.750 0.250 0.000

## Properties
polymorph energy (0 for the lowest one): 295 meV per atom
SG: P4/nmm, No. 129

---

# 9
The following is a DFT calculation (PBE-GGA) of crystalline SiAgNO at its relaxed geometry.

Cell lengths 2.920, 6.101, 5.430 Å; angles 90.00, 90.00, 90.00 degrees
Fractional coordinates of all 8 atoms:
1 Si 0.000 0.126 0.000
2 Si 0.000 0.874 0.500
3 Ag 0.500 0.347 0.477
4 Ag 0.500 0.653 0.977
5 N 0.000 0.088 0.307
6 N 0.000 0.912 0.807
7 O 0.500 0.273 0.938
8 O 0.500 0.727 0.438

## Properties
polymorph energy (0 for the lowest one): 238 meV per atom
SG: Pmc2_1, No. 26

---

# 10
The following is a DFT calculation (PBE-GGA) of crystalline SiAgNO at its relaxed geometry.

Cell lengths 5.430, 7.272, 4.881 Å; angles 90.00, 90.00, 90.00 degrees
Fractional coordinates of all 16 atoms:
1 Si 0.095 0.100 0.000
2 Si 0.405 0.100 0.500
3 Si 0.595 0.900 0.000
4 Si 0.905 0.900 0.500
5 Ag 0.082 0.625 0.029
6 Ag 0.418 0.625 0.529
7 Ag 0.582 0.375 0.029
8 Ag 0.918 0.375 0.529
9 N 0.118 0.052 0.649
10 N 0.382 0.052 0.149
11 N 0.618 0.948 0.649
12 N 0.882 0.948 0.149
13 O 0.019 0.310 0.056
14 O 0.481 0.310 0.556
15 O 0.519 0.690 0.056
16 O 0.981 0.690 0.556

## Properties
polymorph energy (0 for the lowest one): 128 meV per atom
SG: Pca2_1, No. 29

---

# 11
The following is a DFT calculation (PBE-GGA) of crystalline SiAgNO at its relaxed geometry.

Cell lengths 5.740, 7.946, 4.818 Å; angles 90.00, 90.00, 90.00 degrees
Fractional coordinates of all 16 atoms:
1 Si 0.242 0.174 0.000
2 Si 0.258 0.174 0.500
3 Si 0.742 0.826 0.000
4 Si 0.758 0.826 0.500
5 Ag 0.121 0.543 0.992
6 Ag 0.379 0.543 0.492
7 Ag 0.621 0.457 0.992
8 Ag 0.879 0.457 0.492
9 N 0.099 0.289 0.255
10 N 0.401 0.289 0.755
11 N 0.599 0.711 0.255
12 N 0.901 0.711 0.755
13 O 0.111 0.066 0.745
14 O 0.389 0.066 0.245
15 O 0.611 0.934 0.745
16 O 0.889 0.934 0.245

## Properties
polymorph energy (0 for the lowest one): 318 meV per atom
SG: Pca2_1, No. 29

---

# 12
The following is a DFT calculation (PBE-GGA) of crystalline SiAgNO at its relaxed geometry.

Cell lengths 3.883, 3.883, 6.454 Å; angles 90.00, 90.00, 90.00 degrees
Fractional coordinates of all 8 atoms:
1 Si 0.250 0.750 0.000
2 Si 0.750 0.250 0.000
3 Ag 0.250 0.250 0.349
4 Ag 0.750 0.750 0.651
5 N 0.250 0.250 0.977
6 N 0.750 0.750 0.023
7 O 0.250 0.750 0.500
8 O 0.750 0.250 0.500

## Properties
polymorph energy (0 for the lowest one): 1403 meV per atom
SG: P4/nmm, No. 129

---

# 13
The following is a DFT calculation (PBE-GGA) of crystalline SiAgNO at its relaxed geometry.

Cell lengths 3.724, 3.724, 7.553 Å; angles 90.00, 90.00, 90.00 degrees
Fractional coordinates of all 8 atoms:
1 Si 0.250 0.250 0.102
2 Si 0.750 0.750 0.898
3 Ag 0.250 0.750 0.500
4 Ag 0.750 0.250 0.500
5 N 0.250 0.250 0.315
6 N 0.750 0.750 0.685
7 O 0.250 0.750 0.000
8 O 0.750 0.250 0.000

## Properties
polymorph energy (0 for the lowest one): 938 meV per atom
SG: P4/nmm, No. 129

---

# 14
The following is a DFT calculation (PBE-GGA) of crystalline SiAgNO at its relaxed geometry.

Cell lengths 2.945, 6.811, 5.325 Å; angles 90.00, 90.00, 90.00 degrees
Fractional coordinates of all 8 atoms:
1 Si 0.000 0.129 0.000
2 Si 0.000 0.871 0.500
3 Ag 0.500 0.473 0.331
4 Ag 0.500 0.527 0.831
5 N 0.500 0.259 0.044
6 N 0.500 0.741 0.544
7 O 0.000 0.051 0.706
8 O 0.000 0.949 0.206

## Properties
polymorph energy (0 for the lowest one): 0 meV per atom
SG: Pmc2_1, No. 26

---

# 15
The following is a DFT calculation (PBE-GGA) of crystalline SmAgNO at its relaxed geometry.

Cell lengths 4.000, 6.113, 5.781 Å; angles 90.00, 90.00, 90.00 degrees
Fractional coordinates of all 8 atoms:
1 Sm 0.000 0.207 0.000
2 Sm 0.000 0.793 0.500
3 Ag 0.500 0.322 0.502
4 Ag 0.500 0.678 0.002
5 N 0.500 0.347 0.872
6 N 0.500 0.653 0.372
7 O 0.000 0.136 0.378
8 O 0.000 0.864 0.878

## Properties
polymorph energy (0 for the lowest one): 261 meV per atom
SG: Pmc2_1, No. 26

---

# 16
The following is a DFT calculation (PBE-GGA) of crystalline SmAgNO at its relaxed geometry.

Cell lengths 3.997, 6.279, 5.143 Å; angles 90.00, 90.00, 90.00 degrees
Fractional coordinates of all 8 atoms:
1 Sm 0.000 0.207 0.000
2 Sm 0.000 0.793 0.500
3 Ag 0.500 0.269 0.494
4 Ag 0.500 0.731 0.994
5 N 0.000 0.167 0.488
6 N 0.000 0.833 0.988
7 O 0.500 0.354 0.956
8 O 0.500 0.646 0.456

## Properties
polymorph energy (0 for the lowest one): 189 meV per atom
SG: Pmc2_1, No. 26

---

# 17
The following is a DFT calculation (PBE-GGA) of crystalline SmAgNO at its relaxed geometry.

Cell lengths 5.010, 5.010, 4.595 Å; angles 90.00, 90.00, 90.00 degrees
Fractional coordinates of all 8 atoms:
1 Sm 0.250 0.750 0.000
2 Sm 0.750 0.250 0.000
3 Ag 0.250 0.250 0.499
4 Ag 0.750 0.750 0.501
5 N 0.250 0.250 0.999
6 N 0.750 0.750 0.001
7 O 0.250 0.750 0.500
8 O 0.750 0.250 0.500

## Properties
polymorph energy (0 for the lowest one): 134 meV per atom
SG: P4/nmm, No. 129

---

# 18
The following is a DFT calculation (PBE-GGA) of crystalline SmAgNO at its relaxed geometry.

Cell lengths 6.529, 6.161, 5.888 Å; angles 90.00, 90.00, 90.00 degrees
Fractional coordinates of all 16 atoms:
1 Sm 0.090 0.221 0.000
2 Sm 0.410 0.221 0.500
3 Sm 0.590 0.779 0.000
4 Sm 0.910 0.779 0.500
5 Ag 0.111 0.692 0.993
6 Ag 0.389 0.692 0.493
7 Ag 0.611 0.308 0.993
8 Ag 0.889 0.308 0.493
9 N 0.153 0.500 0.663
10 N 0.347 0.500 0.163
11 N 0.653 0.500 0.663
12 N 0.847 0.500 0.163
13 O 0.115 0.053 0.349
14 O 0.385 0.053 0.849
15 O 0.615 0.947 0.349
16 O 0.885 0.947 0.849

## Properties
polymorph energy (0 for the lowest one): 146 meV per atom
SG: Pca2_1, No. 29

---

# 19
The following is a DFT calculation (PBE-GGA) of crystalline SmAgNO at its relaxed geometry.

Cell lengths 5.721, 7.865, 5.699 Å; angles 90.00, 90.00, 90.00 degrees
Fractional coordinates of all 16 atoms:
1 Sm 0.043 0.137 0.000
2 Sm 0.457 0.137 0.500
3 Sm 0.543 0.863 0.000
4 Sm 0.957 0.863 0.500
5 Ag 0.058 0.470 0.627
6 Ag 0.442 0.470 0.127
7 Ag 0.558 0.530 0.627
8 Ag 0.942 0.530 0.127
9 N 0.153 0.340 0.309
10 N 0.347 0.340 0.809
11 N 0.653 0.660 0.309
12 N 0.847 0.660 0.809
13 O 0.245 0.963 0.244
14 O 0.255 0.963 0.744
15 O 0.745 0.037 0.244
16 O 0.755 0.037 0.744

## Properties
polymorph energy (0 for the lowest one): 0 meV per atom
SG: Pca2_1, No. 29

---

# 20
The following is a DFT calculation (PBE-GGA) of crystalline SmAgNO at its relaxed geometry.

Cell lengths 3.902, 3.902, 7.836 Å; angles 90.00, 90.00, 90.00 degrees
Fractional coordinates of all 8 atoms:
1 Sm 0.250 0.250 0.151
2 Sm 0.750 0.750 0.849
3 Ag 0.250 0.750 0.500
4 Ag 0.750 0.250 0.500
5 N 0.250 0.250 0.672
6 N 0.750 0.750 0.328
7 O 0.250 0.750 0.000
8 O 0.750 0.250 0.000

## Properties
polymorph energy (0 for the lowest one): 150 meV per atom
SG: P4/nmm, No. 129